Computed, not measured: a geometry-optimized HfBeN2 structure at the PBE level of DFT.

a b c (Å): 3.315 3.315 15.674
angles (deg): 90.00 90.00 120.00
Element x y z (fractional)
Hf  0.000  0.000  0.000
Hf  0.333  0.667  0.667
Hf  0.667  0.333  0.333
Be  0.000  0.000  0.500
Be  0.333  0.667  0.167
Be  0.667  0.333  0.833
N  0.000  0.000  0.403
N  0.000  0.000  0.597
N  0.333  0.667  0.070
N  0.333  0.667  0.264
N  0.667  0.333  0.736
N  0.667  0.333  0.930

Summary:
crystal system = trigonal
final energy = -8.853 eV per atom